1.
Material: Sr2SmAu4
Method: DFT, PBE-GGA
State: optimized geometry

## Properties
Final energy   -25.55 eV per cell
ρ   9.21 g/cm3
E_form   -0.6224 eV/atom
DOS(E_F)   4.185 states/eV/cell
V   28.67 Å³ per atom
Magnetization   0.0 μB/f.u.

Unit cell a=7.841 b=7.841 c=7.841 alpha=139.59 beta=139.59 gamma=58.47
Element x y z (fractional)
Sr 0.222 0.222 0.000
Sr 0.778 0.778 0.000
Sm 0.500 0.500 0.000
Au 0.106 0.606 0.500
Au 0.394 0.894 0.500
Au 0.606 0.106 0.500
Au 0.894 0.394 0.500



2.
Material: SrSm2Au6
Method: DFT, PBE-GGA
State: optimized geometry

## Properties
Final energy   -37.33 eV per cell
ρ   12.14 g/cm3
E_form   -0.7277 eV/atom
DOS(E_F)   5.621 states/eV/cell
V   23.85 Å³ per atom
Magnetization   0.0 μB/f.u.

Unit cell a=8.265 b=8.265 c=3.626 alpha=90.00 beta=90.00 gamma=119.92
Element x y z (fractional)
Sr 0.000 0.000 0.000
Sm 0.333 0.667 0.000
Sm 0.667 0.333 0.000
Au 0.000 0.335 0.500
Au 0.000 0.665 0.500
Au 0.335 0.000 0.500
Au 0.335 0.335 0.500
Au 0.665 0.000 0.500
Au 0.665 0.665 0.500



3.
Material: SrSm5Au6
Method: DFT, PBE-GGA
State: optimized geometry

## Properties
Final energy   -54.30 eV per cell
ρ   11.04 g/cm3
E_form   -0.7803 eV/atom
DOS(E_F)   7.245 states/eV/cell
V   25.34 Å³ per atom
Magnetization   0.0 μB/f.u.

Unit cell a=5.221 b=7.393 c=8.297 alpha=90.00 beta=108.25 gamma=90.00
Element x y z (fractional)
Sr 0.000 0.000 0.000
Sm 0.000 0.500 0.000
Sm 0.336 0.000 0.670
Sm 0.336 0.500 0.670
Sm 0.664 0.000 0.330
Sm 0.664 0.500 0.330
Au 0.172 0.255 0.349
Au 0.172 0.745 0.349
Au 0.500 0.267 0.000
Au 0.500 0.733 0.000
Au 0.828 0.255 0.651
Au 0.828 0.745 0.651